Below is a geometry-optimized Cu2TcP structure, with properties calculated at the PBE-GGA level.

extended XYZ file:
```
4
Lattice="-1.0567 -2.7051 -0.2864 3.3310 -1.4085 1.0135 -1.3816 0.0514 4.6121" Properties=species:S:1:pos:R:3 pbc="T T T"
P 0.7918 -2.0440 1.5166
Cu -1.3810 0.0514 4.6100
Cu -0.6914 0.0257 2.3082
Tc 0.1010 -2.0182 3.8227
```

Properties
For the formation energy, the calculation gives 0.230 eV/atom. Its density of states at the Fermi level is 0.959 states/eV per atom. The symmetry is Pmmm (47). The calculated density is 8.06 g/cm³. The value obtained for the total energy is -23.0 eV for the cell shown.



Below is a geometry-optimized Cu4TcP2 structure, with properties calculated at the PBE-GGA level.

extended XYZ file:
```
7
Lattice="-0.1783 4.6468 0.7540 -0.5681 -0.7703 4.6127 5.2962 2.0397 3.3986" Properties=species:S:1:pos:R:3 pbc="T T T"
Cu -0.2841 -0.3852 2.3063
Cu -0.0892 2.3234 0.3770
Cu 1.6988 3.9202 5.6752
Cu 2.8510 1.9960 3.0901
P 3.8669 3.9591 5.9487
P 0.6828 1.9571 2.8166
Tc 0.0000 0.0000 0.0000
```

Properties
For the formation energy, the calculation gives 1.014 eV/atom. Its density of states at the Fermi level is 0.510 states/eV per atom. The symmetry is I4/mmm (139). The calculated density is 5.42 g/cm³. The value obtained for the total energy is -30.5 eV for the cell shown.



Below is a geometry-optimized CuTc2P structure, with properties calculated at the PBE-GGA level.

extended XYZ file:
```
4
Lattice="-1.3936 -1.6710 3.2032 0.7925 -2.6015 -1.0124 4.7386 -0.8120 1.6381" Properties=species:S:1:pos:R:3 pbc="T T T"
Tc 5.3748 -2.9286 0.8107
Tc 0.6228 -1.5282 1.8144
P 3.4923 -3.8944 1.8285
Cu 2.9441 -1.8536 0.3139
```

Properties
For the formation energy, the calculation gives -0.006 eV/atom. Its density of states at the Fermi level is 0.389 states/eV per atom. The symmetry is Amm2 (38). The calculated density is 8.82 g/cm³. The value obtained for the total energy is -30.3 eV for the cell shown.